Here is a relaxed GaCo17 crystal from OQMD. Energies are from GGA-PBE.

Summary:
polymorph energy (0 for the lowest one): 0.0 meV per atom
density: 5.35 Mg/m³
crystal system: monoclinic

a = 4.288 Å, b = 4.950 Å, c = 31.315 Å
α = 90.00°, β = 90.02°, γ = 90.00°
Space group P2_1/m (No. 11)
One atom of each set of equivalent atoms:
Ga 0.168 0.250 0.270 (multiplicity 2)
Co 0.000 0.000 0.000 (multiplicity 2)
Co 0.001 0.001 0.805 (multiplicity 4)
Co 0.163 0.750 0.258 (multiplicity 2)
Co 0.165 0.250 0.869 (multiplicity 2)
Co 0.166 0.750 0.065 (multiplicity 2)
Co 0.167 0.250 0.065 (multiplicity 2)
Co 0.169 0.750 0.870 (multiplicity 2)
Co 0.333 0.001 0.742 (multiplicity 4)
Co 0.334 0.000 0.129 (multiplicity 4)
Co 0.334 0.000 0.935 (multiplicity 4)
Co 0.498 0.750 0.806 (multiplicity 2)
Co 0.500 0.250 0.000 (multiplicity 2)
Co 0.500 0.250 0.805 (multiplicity 2)


Here is a relaxed GaCo10 crystal from OQMD. Energies are from GGA-PBE.

Summary:
density: 5.66 Mg/m³
crystal system: monoclinic
electronic total energy: -6.6410 eV per atom

a = 7.776 Å, b = 3.453 Å, c = 28.833 Å
α = 90.00°, β = 90.23°, γ = 90.00°
Space group C2/m (No. 12)
One atom of each set of equivalent atoms:
Ga 0.150 0.000 0.209 (multiplicity 4)
Co 0.048 0.000 0.680 (multiplicity 4)
Co 0.050 0.000 0.403 (multiplicity 4)
Co 0.050 0.500 0.541 (multiplicity 4)
Co 0.051 0.500 0.266 (multiplicity 4)
Co 0.148 0.000 0.761 (multiplicity 4)
Co 0.150 0.000 0.486 (multiplicity 4)
Co 0.150 0.500 0.348 (multiplicity 4)
Co 0.151 0.500 0.624 (multiplicity 4)
Co 0.245 0.500 0.706 (multiplicity 4)
Co 0.249 0.000 0.569 (multiplicity 4)


Here is a relaxed GaCo3 crystal from OQMD. Energies are from GGA-PBE.

Summary:
density: 8.92 Mg/m³
crystal system: hexagonal
electronic total energy: -6.1768 eV per atom

a = 5.0759 Å, b = 5.0759 Å, c = 4.1127 Å
α = 90.00°, β = 90.00°, γ = 120.00°
Space group P6_3/mmc (No. 194)
One atom of each set of equivalent atoms:
Ga 0.3333 0.6667 0.2500 (multiplicity 2)
Co 0.1655 0.3309 0.7500 (multiplicity 6)


Here is a relaxed Ga3Co crystal from OQMD. Energies are from GGA-PBE.

Summary:
density: 7.07 Mg/m³
crystal system: tetragonal
electronic total energy: -4.3134 eV per atom

a = 6.250 Å, b = 6.250 Å, c = 6.444 Å
α = 90.00°, β = 90.00°, γ = 90.00°
Space group P4_2/mnm (No. 136)
One atom of each set of equivalent atoms:
Ga 0.000 0.500 0.000 (multiplicity 4)
Ga 0.152 0.152 0.244 (multiplicity 8)
Co 0.154 0.846 0.000 (multiplicity 4)


Here is a relaxed Ga3Co crystal from OQMD. Energies are from GGA-PBE.

Summary:
density: 7.49 Mg/m³
crystal system: cubic
electronic total energy: -3.8700 eV per atom

a = 6.194 Å, b = 6.194 Å, c = 6.194 Å
α = 90.00°, β = 90.00°, γ = 90.00°
Space group Fm-3m (No. 225)
One atom of each set of equivalent atoms:
Ga 0.000 0.000 0.000 (multiplicity 4)
Ga 0.250 0.250 0.250 (multiplicity 8)
Co 0.000 0.000 0.500 (multiplicity 4)


Here is a relaxed Ga3Co crystal from OQMD. Energies are from GGA-PBE.

Summary:
density: 7.05 Mg/m³
crystal system: tetragonal
electronic total energy: -4.3136 eV per atom

a = 6.251 Å, b = 6.251 Å, c = 6.462 Å
α = 90.00°, β = 90.00°, γ = 90.00°
Space group P-4n2 (No. 118)
One atom of each set of equivalent atoms:
Ga 0.000 0.000 0.246 (multiplicity 4)
Ga 0.150 0.346 0.494 (multiplicity 8)
Co 0.155 0.655 0.250 (multiplicity 4)


Here is a relaxed Ga2Co9 crystal from OQMD. Energies are from GGA-PBE.

Summary:
density: 7.19 Mg/m³
crystal system: trigonal
electronic total energy: -6.1719 eV per atom

a = 2.5384 Å, b = 2.5384 Å, c = 27.7246 Å
α = 90.00°, β = 90.00°, γ = 120.00°
Space group P-3m1 (No. 164)
One atom of each set of equivalent atoms:
Ga 0.3333 0.6667 0.3665 (multiplicity 2)
Co 0.0000 0.0000 0.0000 (multiplicity 1)
Co 0.0000 0.0000 0.2165 (multiplicity 2)
Co 0.3333 0.6667 0.1441 (multiplicity 2)
Co 0.3333 0.6667 0.7125 (multiplicity 2)
Co 0.3333 0.6667 0.9278 (multiplicity 2)


Here is a relaxed GdGa2Co3 crystal from OQMD. Energies are from GGA-PBE.

Summary:
density: 8.79 Mg/m³
crystal system: hexagonal
electronic total energy: -5.7059 eV per atom

a = 8.9761 Å, b = 8.9761 Å, c = 3.8455 Å
α = 90.00°, β = 90.00°, γ = 120.00°
Space group P6/mmm (No. 191)
One atom of each set of equivalent atoms:
Gd 0.0000 0.0000 0.0000 (multiplicity 1)
Gd 0.3333 0.6667 0.5000 (multiplicity 2)
Ga 0.0000 0.3164 0.5000 (multiplicity 6)
Co 0.0000 0.5000 0.0000 (multiplicity 3)
Co 0.1828 0.3656 0.0000 (multiplicity 6)


Here is a relaxed Gd2Ga9Co3 crystal from OQMD. Energies are from GGA-PBE.

Summary:
density: 8.33 Mg/m³
crystal system: orthorhombic
electronic total energy: -4.6242 eV per atom

a = 12.750 Å, b = 7.405 Å, c = 9.448 Å
α = 90.00°, β = 90.00°, γ = 90.00°
Space group Cmcm (No. 63)
One atom of each set of equivalent atoms:
Gd 0.164 0.168 0.250 (multiplicity 8)
Ga 0.000 0.122 0.750 (multiplicity 4)
Ga 0.000 0.335 0.057 (multiplicity 8)
Ga 0.107 0.443 0.750 (multiplicity 8)
Ga 0.167 0.167 0.572 (multiplicity 16)
Co 0.000 0.000 0.000 (multiplicity 4)
Co 0.171 0.500 0.000 (multiplicity 8)


Here is a relaxed Gd3GaCo3 crystal from OQMD. Energies are from GGA-PBE.

Summary:
density: 8.93 Mg/m³
crystal system: orthorhombic
electronic total energy: -5.7922 eV per atom

a = 4.132 Å, b = 10.019 Å, c = 12.903 Å
α = 90.00°, β = 90.00°, γ = 90.00°
Space group Cmcm (No. 63)
One atom of each set of equivalent atoms:
Gd 0.000 0.005 0.250 (multiplicity 4)
Gd 0.000 0.294 0.103 (multiplicity 8)
Ga 0.000 0.000 0.000 (multiplicity 4)
Co 0.000 0.298 0.750 (multiplicity 4)
Co 0.000 0.416 0.595 (multiplicity 8)


Here is a relaxed Gd4Ga16Co3 crystal from OQMD. Energies are from GGA-PBE.

Summary:
density: 7.86 Mg/m³
crystal system: tetragonal
electronic total energy: -4.3644 eV per atom

a = 6.037 Å, b = 6.037 Å, c = 11.138 Å
α = 90.00°, β = 90.00°, γ = 90.00°
Space group P4/mmm (No. 123)
One atom of each set of equivalent atoms:
Gd 0.000 0.500 0.195 (multiplicity 4)
Ga 0.000 0.000 0.195 (multiplicity 2)
Ga 0.220 0.220 0.000 (multiplicity 4)
Ga 0.250 0.250 0.385 (multiplicity 8)
Ga 0.500 0.500 0.219 (multiplicity 2)
Co 0.000 0.500 0.500 (multiplicity 2)
Co 0.500 0.500 0.000 (multiplicity 1)


Here is a relaxed Gd6Ga21Co7 crystal from OQMD. Energies are from GGA-PBE.

Summary:
density: 8.04 Mg/m³
crystal system: tetragonal
electronic total energy: -4.6400 eV per atom

a = 16.739 Å, b = 16.739 Å, c = 4.155 Å
α = 90.00°, β = 90.00°, γ = 90.00°
Space group P4/mbm (No. 127)
One atom of each set of equivalent atoms:
Gd 0.088 0.158 0.000 (multiplicity 8)
Gd 0.107 0.607 0.500 (multiplicity 4)
Ga 0.000 0.500 0.000 (multiplicity 2)
Ga 0.032 0.890 0.500 (multiplicity 8)
Ga 0.042 0.272 0.500 (multiplicity 8)
Ga 0.075 0.425 0.500 (multiplicity 4)
Ga 0.075 0.740 0.000 (multiplicity 8)
Ga 0.179 0.321 0.000 (multiplicity 4)
Ga 0.179 0.789 0.500 (multiplicity 8)
Co 0.000 0.000 0.000 (multiplicity 2)
Co 0.037 0.352 0.000 (multiplicity 8)
Co 0.219 0.719 0.000 (multiplicity 4)